Record 1
## NiP3O9 (GGA-PBEsol)

Data for crystalline NiP3O9 at its relaxed geometry.

Geometry as CIF:
```
data_NiP3O9
_cell_length_a 4.924
_cell_length_b 11.637
_cell_length_c 12.828
_cell_angle_alpha 90.00
_cell_angle_beta 90.00
_cell_angle_gamma 90.00
_symmetry_space_group_name_H-M 'P b c m'
_symmetry_Int_Tables_number 57
_symmetry_space_group_name_Hall '-P 2c 2b'
loop_
_atom_site_label
_atom_site_type_symbol
_atom_site_fract_x
_atom_site_fract_y
_atom_site_fract_z
Ni1 Ni 0.000 0.000 0.000
P1 P 0.224 0.250 0.000
P2 P 0.492 0.082 0.133
O1 O 0.064 0.151 0.543
O2 O 0.210 0.559 0.129
O3 O 0.312 0.507 0.581
O4 O 0.393 0.098 0.250
O5 O 0.425 0.208 0.089
```

Computed properties:
For the density, the calculation gives 2.671 g/cm3. The energy above the most stable polymorph in this dataset comes out at 4 meV per atom. The value obtained for the raw formation energy is -23.61 eV/f.u. The final energy is -0.2668 Ha/atom.

=====

Record 2
## Ni2P5O15 (GGA-PBEsol)

Data for crystalline Ni2P5O15 at its relaxed geometry.

Geometry as CIF:
```
data_Ni2P5O15
_cell_length_a 5.198
_cell_length_b 7.938
_cell_length_c 13.129
_cell_angle_alpha 90.00
_cell_angle_beta 107.14
_cell_angle_gamma 90.00
_symmetry_space_group_name_H-M 'P 1 2/c 1'
_symmetry_Int_Tables_number 13
_symmetry_space_group_name_Hall '-P 2yc'
loop_
_atom_site_label
_atom_site_type_symbol
_atom_site_fract_x
_atom_site_fract_y
_atom_site_fract_z
Ni1 Ni 0.077 0.202 0.471
P1 P 0.000 0.421 0.250
P2 P 0.356 0.327 0.897
P3 P 0.489 0.014 0.139
O1 O 0.073 0.328 0.163
O2 O 0.154 0.303 0.955
O3 O 0.190 0.015 0.583
O4 O 0.251 0.455 0.800
O5 O 0.355 0.371 0.547
O6 O 0.359 0.159 0.826
O7 O 0.363 0.124 0.415
O8 O 0.500 0.097 0.250
```

Computed properties:
For the density, the calculation gives 3.286 g/cm3. The value obtained for the raw formation energy is -39.14 eV/f.u. The final energy is -0.2659 Ha/atom.

=====

Record 3
## NiP3O9 (GGA-PBEsol)

Data for crystalline NiP3O9 at its relaxed geometry.

Geometry as CIF:
```
data_NiP3O9
_cell_length_a 9.287
_cell_length_b 9.309
_cell_length_c 9.499
_cell_angle_alpha 111.49
_cell_angle_beta 107.28
_cell_angle_gamma 107.04
_symmetry_space_group_name_H-M 'P -1'
_symmetry_Int_Tables_number 2
_symmetry_space_group_name_Hall '-P 1'
loop_
_atom_site_label
_atom_site_type_symbol
_atom_site_fract_x
_atom_site_fract_y
_atom_site_fract_z
Ni1 Ni 0.193 0.293 0.090
Ni2 Ni 0.274 0.224 0.755
P1 P 0.063 0.915 0.822
P2 P 0.089 0.844 0.499
P3 P 0.185 0.813 0.064
P4 P 0.278 0.631 0.413
P5 P 0.353 0.604 0.986
P6 P 0.406 0.533 0.685
O1 O 0.017 0.769 0.072
O2 O 0.019 0.818 0.627
O3 O 0.051 0.178 0.650
O4 O 0.100 0.129 0.167
O5 O 0.130 0.687 0.438
O6 O 0.163 0.825 0.893
O7 O 0.170 0.475 0.232
O8 O 0.189 0.106 0.902
O9 O 0.198 0.631 0.000
O10 O 0.246 0.014 0.591
O11 O 0.294 0.546 0.535
O12 O 0.317 0.421 0.956
O13 O 0.337 0.957 0.217
O14 O 0.346 0.346 0.638
O15 O 0.347 0.619 0.824
O16 O 0.409 0.355 0.254
O17 O 0.432 0.775 0.458
O18 O 0.488 0.250 0.859
```

Computed properties:
For the density, the calculation gives 3.017 g/cm3. The energy above the most stable polymorph in this dataset comes out at 76 meV per atom. The value obtained for the raw formation energy is -22.68 eV/f.u. The final energy is -0.2642 Ha/atom.

=====

Record 4
## Ni2P2O7 (GGA-PBEsol)

Data for crystalline Ni2P2O7 at its relaxed geometry.

Geometry as CIF:
```
data_Ni2P2O7
_cell_length_a 6.358
_cell_length_b 8.193
_cell_length_c 4.450
_cell_angle_alpha 90.00
_cell_angle_beta 102.35
_cell_angle_gamma 90.00
_symmetry_space_group_name_H-M 'C 1 2/m 1'
_symmetry_Int_Tables_number 12
_symmetry_space_group_name_Hall '-C 2y'
loop_
_atom_site_label
_atom_site_type_symbol
_atom_site_fract_x
_atom_site_fract_y
_atom_site_fract_z
Ni1 Ni 0.000 0.186 0.000
P1 P 0.224 0.500 0.407
O1 O 0.000 0.500 0.500
O2 O 0.117 0.000 0.280
O3 O 0.232 0.343 0.222
```

Computed properties:
For the density, the calculation gives 4.273 g/cm3. The energy above the most stable polymorph in this dataset comes out at 11 meV per atom. The value obtained for the raw formation energy is -17.64 eV/f.u. The final energy is -0.2615 Ha/atom.